(1)
## Sr2LiLaH (PBE)

Data for a relaxed Sr2LiLaH crystal.

energy above the most stable polymorph in this dataset: 0 meV per atom
calculated total energy: -2.7341 eV/atom
magnetic moment: 0.0 μB/f.u.

```
data_Sr2LiLaH
_chemical_formula_sum 'Sr2 Li1 La1 H1'
_symmetry_space_group_name_H-M 'P 4/m m m'
_symmetry_Int_Tables_number 123
_symmetry_space_group_name_Hall '-P 4 2'
_cell_length_a 5.899
_cell_length_b 5.899
_cell_length_c 4.717
_cell_angle_alpha 90.00
_cell_angle_beta 90.00
_cell_angle_gamma 90.00
loop_
_atom_site_label
_atom_site_fract_x
_atom_site_fract_y
_atom_site_fract_z
Sr1 0.000 0.500 0.000
Li1 0.000 0.000 0.500
La1 0.500 0.500 0.500
H1 0.500 0.500 0.000
```



(2)
## SrLiLa2H (PBE)

Data for a relaxed SrLiLa2H crystal.

energy above the most stable polymorph in this dataset: 0 meV per atom
calculated total energy: -3.3753 eV/atom
magnetic moment: 0.0 μB/f.u.

```
data_SrLiLa2H
_chemical_formula_sum 'Sr1 Li1 La2 H1'
_symmetry_space_group_name_H-M 'P 4/m m m'
_symmetry_Int_Tables_number 123
_symmetry_space_group_name_Hall '-P 4 2'
_cell_length_a 5.022
_cell_length_b 5.022
_cell_length_c 5.911
_cell_angle_alpha 90.00
_cell_angle_beta 90.00
_cell_angle_gamma 90.00
loop_
_atom_site_label
_atom_site_fract_x
_atom_site_fract_y
_atom_site_fract_z
Sr1 0.000 0.000 0.000
Li1 0.500 0.500 0.000
La1 0.000 0.500 0.500
H1 0.000 0.000 0.500
```



(3)
## LiLaTcH6 (PBE)

Data for a relaxed LiLaTcH6 crystal.

calculated total energy: -4.4554 eV/atom
magnetic moment: 1.0 μB/f.u.

```
data_LiLaTcH6
_chemical_formula_sum 'Li2 La2 Tc2 H12'
_symmetry_space_group_name_H-M 'A m m 2'
_symmetry_Int_Tables_number 38
_cell_length_a 4.593
_cell_length_b 4.768
_cell_length_c 7.892
_cell_angle_alpha 90.00
_cell_angle_beta 90.00
_cell_angle_gamma 90.00
loop_
_symmetry_equiv_pos_as_xyz
'x,y,z'
'-x,-y,z'
'-x,y,z'
'x,-y,z'
'x,y+1/2,z+1/2'
'-x,-y+1/2,z+1/2'
'-x,y+1/2,z+1/2'
'x,-y+1/2,z+1/2'
loop_
_atom_site_label
_atom_site_fract_x
_atom_site_fract_y
_atom_site_fract_z
Li1 0.000 0.000 0.000
La1 0.500 0.000 0.664
Tc1 0.000 0.000 0.343
H1 0.252 0.000 0.182
H2 0.262 0.245 0.404
```



(4)
## LiLa2TcH6 (PBE)

Data for a relaxed LiLa2TcH6 crystal.

calculated total energy: -4.6348 eV/atom
magnetic moment: 0.0 μB/f.u.

```
data_LiLa2TcH6
_chemical_formula_sum 'Li1 La2 Tc1 H6'
_symmetry_space_group_name_H-M 'P -3 m 1'
_symmetry_Int_Tables_number 164
_symmetry_space_group_name_Hall '-P 3 2"'
_cell_length_a 5.1353
_cell_length_b 5.1353
_cell_length_c 5.1148
_cell_angle_alpha 90.00
_cell_angle_beta 90.00
_cell_angle_gamma 120.00
loop_
_atom_site_label
_atom_site_fract_x
_atom_site_fract_y
_atom_site_fract_z
Li1 0.0000 0.0000 0.0000
La1 0.3333 0.6667 0.7328
Tc1 0.0000 0.0000 0.5000
H1 0.1617 0.3235 0.2778
```



(5)
## LiLa2TcH (PBE)

Data for a relaxed LiLa2TcH crystal.

calculated total energy: -5.1447 eV/atom
magnetic moment: 0.0 μB/f.u.

```
data_LiLa2TcH
_chemical_formula_sum 'Li1 La2 Tc1 H1'
_symmetry_space_group_name_H-M 'P 4/m m m'
_symmetry_Int_Tables_number 123
_symmetry_space_group_name_Hall '-P 4 2'
_cell_length_a 5.078
_cell_length_b 5.078
_cell_length_c 3.784
_cell_angle_alpha 90.00
_cell_angle_beta 90.00
_cell_angle_gamma 90.00
loop_
_atom_site_label
_atom_site_fract_x
_atom_site_fract_y
_atom_site_fract_z
Li1 0.000 0.000 0.000
La1 0.000 0.500 0.500
Tc1 0.500 0.500 0.000
H1 0.000 0.000 0.500
```



(6)
## LiLa2TiH (PBE)

Data for a relaxed LiLa2TiH crystal.

calculated total energy: -4.6088 eV/atom
magnetic moment: 1.6 μB/f.u.

```
data_LiLa2TiH
_chemical_formula_sum 'Li1 La2 Ti1 H1'
_symmetry_space_group_name_H-M 'P 4/m m m'
_symmetry_Int_Tables_number 123
_symmetry_space_group_name_Hall '-P 4 2'
_cell_length_a 5.279
_cell_length_b 5.279
_cell_length_c 3.873
_cell_angle_alpha 90.00
_cell_angle_beta 90.00
_cell_angle_gamma 90.00
loop_
_atom_site_label
_atom_site_fract_x
_atom_site_fract_y
_atom_site_fract_z
Li1 0.000 0.000 0.000
La1 0.000 0.500 0.500
Ti1 0.500 0.500 0.000
H1 0.000 0.000 0.500
```



Look up the magnetic moment of the third one. 1.0 μB/f.u.



The highest magnetic moment belongs to which entry? LiLa2TiH



Which of these has the highest magnetic moment? LiLa2TiH



What did the sixth record say?
## LiLa2TiH (PBE)

Data for a relaxed LiLa2TiH crystal.

calculated total energy: -4.6088 eV/atom
magnetic moment: 1.6 μB/f.u.

```
data_LiLa2TiH
_chemical_formula_sum 'Li1 La2 Ti1 H1'
_symmetry_space_group_name_H-M 'P 4/m m m'
_symmetry_Int_Tables_number 123
_symmetry_space_group_name_Hall '-P 4 2'
_cell_length_a 5.279
_cell_length_b 5.279
_cell_length_c 3.873
_cell_angle_alpha 90.00
_cell_angle_beta 90.00
_cell_angle_gamma 90.00
loop_
_atom_site_label
_atom_site_fract_x
_atom_site_fract_y
_atom_site_fract_z
Li1 0.000 0.000 0.000
La1 0.000 0.500 0.500
Ti1 0.500 0.500 0.000
H1 0.000 0.000 0.500
```